(one)
The following is a DFT calculation (PBE) of a relaxed CrRuBr2 crystal.

Values from the calculation:
DOS at the Fermi energy: 3.16 states/eV/f.u.

Cell lengths 7.170, 7.170, 7.170 Å; angles 150.72, 146.59, 45.01 degrees
Sites, in units of the cell vectors:
1 Cr 0.750 0.250 0.500
2 Br 0.384 0.384 0.000
3 Br 0.116 0.116 0.000
4 Ru 0.250 0.750 0.500

***

(two)
The following is a DFT calculation (PBE) of a relaxed CrRuBr2 crystal.

Values from the calculation:
DOS at the Fermi energy: 5.44 states/eV/f.u.

Cell lengths 7.307, 7.307, 4.335 Å; angles 81.87, 81.87, 25.59 degrees
Sites, in units of the cell vectors:
1 Cr 0.750 0.750 0.750
2 Br 0.115 0.115 0.956
3 Br 0.385 0.385 0.544
4 Ru 0.250 0.250 0.250

***

(three)
The following is a DFT calculation (PBE) of a relaxed CrRuBr2 crystal.

Values from the calculation:
DOS at the Fermi energy: 3.22 states/eV/f.u.

Cell lengths 8.512, 8.512, 8.512 Å; angles 24.06, 24.06, 24.06 degrees
Sites, in units of the cell vectors:
1 Ru 0.000 0.000 0.000
2 Cr 0.500 0.500 0.500
3 Br 0.100 0.100 0.100
4 Br 0.900 0.900 0.900

***

Relative to the most stable structure, the computed energies are (one) 0; (two) 73; (three) 338, all in meV/atom.

***

(one)
The following is a DFT calculation (PBE) of a relaxed CrRuBr2 crystal.

Values from the calculation:
DOS at the Fermi energy: 2.14 states/eV/f.u.

Cell lengths 3.473, 3.473, 7.805 Å; angles 90.00, 90.00, 104.73 degrees
Sites, in units of the cell vectors:
1 Br 0.000 0.000 0.913
2 Br 0.500 0.500 0.350
3 Ru 0.500 0.500 0.687
4 Cr 0.000 0.000 0.550

***

(two)
The following is a DFT calculation (PBE) of a relaxed CrRuBr2 crystal.

Values from the calculation:
DOS at the Fermi energy: 4.59 states/eV/f.u.

Cell lengths 4.123, 3.535, 5.597 Å; angles 91.46, 90.00, 90.00 degrees
Sites, in units of the cell vectors:
1 Br 0.000 0.973 0.992
2 Br 0.000 0.527 0.508
3 Cr 0.500 0.250 0.250
4 Ru 0.500 0.750 0.750

***

Relative to the most stable structure, the computed energies are (one) 0; (two) 412, all in meV/atom.

***

(one)
The following is a DFT calculation (PBE) of a relaxed CrRu3Br crystal.

Values from the calculation:
DOS at the Fermi energy: 15.22 states/eV/f.u.

Cell lengths 4.484, 4.484, 4.484 Å; angles 90.00, 90.00, 90.00 degrees
Sites, in units of the cell vectors:
1 Br 0.000 0.000 0.000
2 Cr 0.500 0.500 0.500
3 Ru 0.000 0.000 0.500
4 Ru 0.500 0.000 0.000
5 Ru 0.000 0.500 0.000

***

(two)
The following is a DFT calculation (PBE) of a relaxed CrRu3Br crystal.

Values from the calculation:
DOS at the Fermi energy: 4.23 states/eV/f.u.

Cell lengths 4.542, 4.542, 4.542 Å; angles 90.00, 90.00, 90.00 degrees
Sites, in units of the cell vectors:
1 Br 0.500 0.500 0.500
2 Ru 0.000 0.000 0.500
3 Ru 0.500 0.000 0.000
4 Ru 0.000 0.500 0.000
5 Cr 0.000 0.000 0.000

***

Relative to the most stable structure, the computed energies are (one) 458; (two) 0, all in meV/atom.

***

(one)
The following is a DFT calculation (PBE) of a relaxed CrRuSeBr2 crystal.

Values from the calculation:
DOS at the Fermi energy: 5.38 states/eV/f.u.

Cell lengths 5.270, 5.270, 4.635 Å; angles 90.00, 90.00, 90.00 degrees
Sites, in units of the cell vectors:
1 Se 0.000 0.000 0.500
2 Ru 0.000 0.000 0.000
3 Br 0.000 0.500 0.000
4 Br 0.500 0.000 0.000
5 Cr 0.500 0.500 0.500

***

(two)
The following is a DFT calculation (PBE) of a relaxed CrRuSeBr2 crystal.

Values from the calculation:
DOS at the Fermi energy: 5.02 states/eV/f.u.

Cell lengths 5.115, 5.115, 4.589 Å; angles 90.00, 90.00, 90.00 degrees
Sites, in units of the cell vectors:
1 Br 0.500 0.000 0.000
2 Br 0.000 0.500 0.000
3 Se 0.000 0.000 0.500
4 Ru 0.500 0.500 0.500
5 Cr 0.000 0.000 0.000

***

Relative to the most stable structure, the computed energies are (one) 0; (two) 418, all in meV/atom.

***

(one)
The following is a DFT calculation (PBE) of a relaxed CrSBr3 crystal.

Values from the calculation:
DOS at the Fermi energy: 6.74 states/eV/f.u.

Cell lengths 4.873, 4.873, 4.873 Å; angles 90.00, 90.00, 90.00 degrees
Sites, in units of the cell vectors:
1 Br 0.000 0.000 0.500
2 Br 0.000 0.500 0.000
3 Br 0.500 0.000 0.000
4 Cr 0.000 0.000 0.000
5 S 0.500 0.500 0.500

***

(two)
The following is a DFT calculation (PBE) of a relaxed CrSBr3 crystal.

Values from the calculation:
DOS at the Fermi energy: 7.87 states/eV/f.u.

Cell lengths 5.185, 5.185, 5.185 Å; angles 90.00, 90.00, 90.00 degrees
Sites, in units of the cell vectors:
1 Br 0.000 0.500 0.000
2 Br 0.500 0.000 0.000
3 Br 0.000 0.000 0.500
4 S 0.000 0.000 0.000
5 Cr 0.500 0.500 0.500

***

Relative to the most stable structure, the computed energies are (one) 15; (two) 0, all in meV/atom.

***

(one)
The following is a DFT calculation (PBE) of a relaxed CrS2Br crystal.

Values from the calculation:
DOS at the Fermi energy: 0.00 states/eV/f.u.

Cell lengths 7.587, 7.587, 7.587 Å; angles 27.65, 27.65, 27.65 degrees
Sites, in units of the cell vectors:
1 S 0.112 0.112 0.112
2 S 0.888 0.888 0.888
3 Br 0.000 0.000 0.000
4 Cr 0.500 0.500 0.500

***

(two)
The following is a DFT calculation (PBE) of a relaxed CrS2Br crystal.

Values from the calculation:
DOS at the Fermi energy: 2.96 states/eV/f.u.

Cell lengths 4.618, 4.618, 4.618 Å; angles 60.00, 60.00, 60.00 degrees
Sites, in units of the cell vectors:
1 S 0.250 0.250 0.250
2 S 0.750 0.750 0.750
3 Cr 0.000 0.000 0.000
4 Br 0.500 0.500 0.500

***

(three)
The following is a DFT calculation (PBE) of a relaxed CrS2Br crystal.

Values from the calculation:
DOS at the Fermi energy: 4.50 states/eV/f.u.

Cell lengths 11.879, 11.879, 11.879 Å; angles 13.90, 13.90, 13.90 degrees
Sites, in units of the cell vectors:
1 S 0.063 0.063 0.063
2 S 0.937 0.937 0.937
3 Cr 0.000 0.000 0.000
4 Br 0.500 0.500 0.500

***

(four)
The following is a DFT calculation (PBE) of a relaxed CrS2Br crystal.

Values from the calculation:
DOS at the Fermi energy: 1.17 states/eV/f.u.

Cell lengths 6.387, 6.387, 6.545 Å; angles 60.79, 60.79, 90.00 degrees
Sites, in units of the cell vectors:
1 S 0.875 0.758 0.750
2 S 0.375 0.492 0.750
3 S 0.508 0.125 0.250
4 S 0.242 0.625 0.250
5 Cr 0.250 0.750 0.500
6 Cr 0.500 0.500 0.000
7 Br 0.000 0.000 0.000
8 Br 0.750 0.250 0.500

***

Relative to the most stable structure, the computed energies are (one) 0; (two) 1060; (three) 983; (four) 296, all in meV/atom.

***

(one)
The following is a DFT calculation (PBE) of a relaxed CrSb2Br crystal.

Values from the calculation:
DOS at the Fermi energy: 2.76 states/eV/f.u.

Cell lengths 4.463, 4.463, 8.553 Å; angles 107.32, 107.32, 48.11 degrees
Sites, in units of the cell vectors:
1 Sb 0.601 0.601 0.406
2 Sb 0.899 0.899 0.094
3 Cr 0.250 0.250 0.250
4 Br 0.750 0.750 0.750

***

(two)
The following is a DFT calculation (PBE) of a relaxed CrSb2Br crystal.

Values from the calculation:
DOS at the Fermi energy: 3.58 states/eV/f.u.

Cell lengths 8.410, 8.410, 8.410 Å; angles 25.49, 25.49, 25.49 degrees
Sites, in units of the cell vectors:
1 Br 0.250 0.250 0.250
2 Sb 0.482 0.482 0.482
3 Sb 0.018 0.018 0.018
4 Cr 0.750 0.750 0.750

***

(three)
The following is a DFT calculation (PBE) of a relaxed CrSb2Br crystal.

Values from the calculation:
DOS at the Fermi energy: 2.78 states/eV/f.u.

Cell lengths 5.207, 5.207, 5.207 Å; angles 60.00, 60.00, 60.00 degrees
Sites, in units of the cell vectors:
1 Cr 0.250 0.250 0.250
2 Sb 0.000 0.000 0.000
3 Sb 0.750 0.750 0.750
4 Br 0.500 0.500 0.500

***

(four)
The following is a DFT calculation (PBE) of a relaxed CrSb2Br crystal.

Values from the calculation:
DOS at the Fermi energy: 2.72 states/eV/f.u.

Cell lengths 5.163, 5.170, 5.174 Å; angles 68.92, 73.64, 111.00 degrees
Sites, in units of the cell vectors:
1 Br 0.000 0.500 0.500
2 Sb 0.000 0.000 0.000
3 Sb 0.500 0.000 0.500
4 Cr 0.500 0.500 0.000

***

Relative to the most stable structure, the computed energies are (one) 0; (two) 109; (three) 314; (four) 208, all in meV/atom.

***

(one)
The following is a DFT calculation (PBE) of a relaxed CrSb3Br crystal.

Values from the calculation:
DOS at the Fermi energy: 5.50 states/eV/f.u.

Cell lengths 5.044, 5.044, 5.044 Å; angles 90.00, 90.00, 90.00 degrees
Sites, in units of the cell vectors:
1 Sb 0.500 0.000 0.000
2 Sb 0.000 0.500 0.000
3 Sb 0.000 0.000 0.500
4 Br 0.500 0.500 0.500
5 Cr 0.000 0.000 0.000

***

(two)
The following is a DFT calculation (PBE) of a relaxed CrSb3Br crystal.

Values from the calculation:
DOS at the Fermi energy: 7.74 states/eV/f.u.

Cell lengths 5.416, 5.416, 5.416 Å; angles 90.00, 90.00, 90.00 degrees
Sites, in units of the cell vectors:
1 Br 0.000 0.000 0.000
2 Sb 0.000 0.000 0.500
3 Sb 0.000 0.500 0.000
4 Sb 0.500 0.000 0.000
5 Cr 0.500 0.500 0.500

***

Relative to the most stable structure, the computed energies are (one) 0; (two) 1457, all in meV/atom.

***

(one)
The following is a DFT calculation (PBE) of a relaxed Sc2CrBr crystal.

Values from the calculation:
DOS at the Fermi energy: 4.27 states/eV/f.u.

Cell lengths 3.285, 3.285, 9.204 Å; angles 90.00, 90.00, 111.12 degrees
Sites, in units of the cell vectors:
1 Sc 0.000 0.000 0.993
2 Sc 0.500 0.500 0.262
3 Br 0.000 0.000 0.480
4 Cr 0.500 0.500 0.764

***

(two)
The following is a DFT calculation (PBE) of a relaxed Sc2CrBr crystal.

Values from the calculation:
DOS at the Fermi energy: 4.14 states/eV/f.u.

Cell lengths 4.936, 4.936, 4.936 Å; angles 60.00, 60.00, 60.00 degrees
Sites, in units of the cell vectors:
1 Sc 0.750 0.750 0.750
2 Sc 0.250 0.250 0.250
3 Br 0.500 0.500 0.500
4 Cr 0.000 0.000 0.000

***

(three)
The following is a DFT calculation (PBE) of a relaxed Sc2CrBr crystal.

Values from the calculation:
DOS at the Fermi energy: 4.44 states/eV/f.u.

Cell lengths 5.286, 5.286, 5.286 Å; angles 130.14, 130.14, 73.18 degrees
Sites, in units of the cell vectors:
1 Cr 0.750 0.250 0.500
2 Br 0.250 0.750 0.500
3 Sc 0.000 0.000 0.000
4 Sc 0.500 0.500 0.000

***

(four)
The following is a DFT calculation (PBE) of a relaxed Sc2CrBr crystal.

Values from the calculation:
DOS at the Fermi energy: 5.18 states/eV/f.u.

Cell lengths 3.320, 3.320, 8.592 Å; angles 90.00, 90.00, 90.00 degrees
Sites, in units of the cell vectors:
1 Cr 0.500 0.500 0.785
2 Sc 0.500 0.500 0.261
3 Sc 0.000 0.000 0.994
4 Br 0.000 0.000 0.460

***

Relative to the most stable structure, the computed energies are (one) 13; (two) 217; (three) 169; (four) 0, all in meV/atom.

***

(one)
The following is a DFT calculation (PBE) of a relaxed Sc2CrBr crystal.

Values from the calculation:
DOS at the Fermi energy: 3.50 states/eV/f.u.

Cell lengths 3.284, 3.369, 7.917 Å; angles 90.02, 90.00, 90.00 degrees
Sites, in units of the cell vectors:
1 Cr 0.500 0.750 0.750
2 Sc 0.000 0.251 0.954
3 Sc 0.000 0.249 0.546
4 Br 0.500 0.250 0.250

***

(two)
The following is a DFT calculation (PBE) of a relaxed Sc2CrBr crystal.

Values from the calculation:
DOS at the Fermi energy: 3.14 states/eV/f.u.

Cell lengths 9.311, 9.311, 9.311 Å; angles 21.83, 21.83, 21.83 degrees
Sites, in units of the cell vectors:
1 Br 0.000 0.000 0.000
2 Sc 0.904 0.904 0.904
3 Sc 0.096 0.096 0.096
4 Cr 0.500 0.500 0.500

***

(three)
The following is a DFT calculation (PBE) of a relaxed Sc2CrBr crystal.

Values from the calculation:
DOS at the Fermi energy: 5.75 states/eV/f.u.

Cell lengths 4.937, 4.937, 4.937 Å; angles 60.00, 60.00, 60.00 degrees
Sites, in units of the cell vectors:
1 Br 0.500 0.500 0.500
2 Cr 0.750 0.750 0.750
3 Sc 0.000 0.000 0.000
4 Sc 0.250 0.250 0.250

***

Relative to the most stable structure, the computed energies are (one) 0; (two) 275; (three) 770, all in meV/atom.

***

(one)
The following is a DFT calculation (PBE) of a relaxed Sc2CrBr crystal.

Values from the calculation:
DOS at the Fermi energy: 5.01 states/eV/f.u.

Cell lengths 5.871, 5.871, 5.871 Å; angles 140.05, 140.05, 57.77 degrees
Sites, in units of the cell vectors:
1 Cr 0.750 0.250 0.500
2 Br 0.500 0.500 0.000
3 Sc 0.000 0.000 0.000
4 Sc 0.250 0.750 0.500

***

(two)
The following is a DFT calculation (PBE) of a relaxed Sc2CrBr crystal.

Values from the calculation:
DOS at the Fermi energy: 4.38 states/eV/f.u.

Cell lengths 5.548, 5.548, 5.548 Å; angles 143.34, 119.62, 72.75 degrees
Sites, in units of the cell vectors:
1 Sc 0.992 0.992 0.000
2 Sc 0.508 0.508 0.000
3 Cr 0.250 0.750 0.500
4 Br 0.750 0.250 0.500

***

Relative to the most stable structure, the computed energies are (one) 57; (two) 0, all in meV/atom.